Density functional theory data (PBE+U) for a relaxed structure of LiScCoF6.

spin magnetization = 0.33 μB per atom
E_tot = -5.805 eV/atom

CIF file:
```
data_LiScCoF6
_cell_length_a 5.3221
_cell_length_b 5.3221
_cell_length_c 9.0253
_cell_angle_alpha 90.00
_cell_angle_beta 90.00
_cell_angle_gamma 120.00
_symmetry_space_group_name_H-M 'P -3 1 c'
_symmetry_Int_Tables_number 163
_symmetry_space_group_name_Hall '-P 3 2c'
loop_
_atom_site_label
_atom_site_type_symbol
_atom_site_fract_x
_atom_site_fract_y
_atom_site_fract_z
Li1 Li 0.0000 0.0000 0.0000
Sc1 Sc 0.3333 0.6667 0.2500
Co1 Co 0.3333 0.6667 0.7500
F1 F 0.0031 0.3427 0.1314
```